## w
Material: Tb6Sm3Cd
Method: DFT, GGA-PBE
State: relaxed

For the magnetic moment, the calculation gives 0.00 Bohr magnetons per cell.

The space group is Cmc2_1 (No. 36) and the conventional cell measures 10.992, 19.000 and 6.141 Å, with angles of 90.00, 90.00 and 90.00 degrees. The asymmetric unit holds Tb at (0.000, 0.056, 0.000), Tb at (0.000, 0.265, 0.724), Tb at (0.162, 0.448, 0.581), Tb at (0.225, 0.284, 0.385), Sm at (0.000, 0.393, 0.098), Sm at (0.164, 0.104, 0.523) and Cd at (0.000, 0.209, 0.193).


## x
Material: Tb6Sm3Cd
Method: DFT, GGA-PBE
State: relaxed

For the magnetic moment, the calculation gives 0.00 Bohr magnetons per cell.

The space group is P2_1/m (No. 11) and the conventional cell measures 10.938, 5.086 and 11.322 Å, with angles of 90.00, 92.58 and 90.00 degrees. The asymmetric unit holds Tb at (0.044, 0.250, 0.392), Tb at (0.130, 0.750, 0.179), Tb at (0.154, 0.250, 0.683), Tb at (0.228, 0.250, 0.989), Tb at (0.344, 0.750, 0.796), Tb at (0.449, 0.250, 0.601), Sm at (0.246, 0.750, 0.488), Sm at (0.344, 0.250, 0.289), Sm at (0.447, 0.750, 0.097) and Cd at (0.057, 0.750, 0.887).


The most stable of them is x.